--- a ---
# CaHoAl2 | the Alexandria database | PBE | relaxed
data_CaHoAl2
_chemical_formula_sum 'Ca3 Ho3 Al6'
_cell_length_a 3.5385
_cell_length_b 3.5385
_cell_length_c 29.0569
_cell_angle_alpha 90.00
_cell_angle_beta 90.00
_cell_angle_gamma 120.00
_symmetry_space_group_name_H-M 'P 1'
_symmetry_Int_Tables_number 1
loop_
_symmetry_equiv_pos_as_xyz
'x,y,z'
loop_
_atom_site_label
_atom_site_type_symbol
_atom_site_fract_x
_atom_site_fract_y
_atom_site_fract_z
Ca1 Ca 0.0000 0.0000 0.0000
Ca2 Ca 0.3333 0.6667 0.6667
Ca3 Ca 0.6667 0.3333 0.3333
Ho1 Ho 0.0000 0.0000 0.5000
Ho2 Ho 0.3333 0.6667 0.1667
Ho3 Ho 0.6667 0.3333 0.8333
Al1 Al 0.0000 0.0000 0.2479
Al2 Al 0.0000 0.0000 0.7521
Al3 Al 0.3333 0.6667 0.4188
Al4 Al 0.3333 0.6667 0.9146
Al5 Al 0.6667 0.3333 0.0854
Al6 Al 0.6667 0.3333 0.5812
# Space group: R-3m
# DOS(E_F) in states/eV per atom: 0.9280
# V in Å³/f.u.: 105

=====

--- b ---
# CaHoAl2 | the Alexandria database | PBE | relaxed
data_CaHoAl2
_chemical_formula_sum 'Ca4 Ho4 Al8'
_cell_length_a 7.2817
_cell_length_b 7.2817
_cell_length_c 7.2817
_cell_angle_alpha 90.00
_cell_angle_beta 90.00
_cell_angle_gamma 90.00
_symmetry_space_group_name_H-M 'P 1'
_symmetry_Int_Tables_number 1
loop_
_symmetry_equiv_pos_as_xyz
'x,y,z'
loop_
_atom_site_label
_atom_site_type_symbol
_atom_site_fract_x
_atom_site_fract_y
_atom_site_fract_z
Ca1 Ca 0.0000 0.0000 0.0000
Ca2 Ca 0.0000 0.5000 0.5000
Ca3 Ca 0.5000 0.0000 0.5000
Ca4 Ca 0.5000 0.5000 0.0000
Ho1 Ho 0.0000 0.0000 0.5000
Ho2 Ho 0.0000 0.5000 0.0000
Ho3 Ho 0.5000 0.0000 0.0000
Ho4 Ho 0.5000 0.5000 0.5000
Al1 Al 0.2500 0.2500 0.2500
Al2 Al 0.2500 0.2500 0.7500
Al3 Al 0.2500 0.7500 0.2500
Al4 Al 0.2500 0.7500 0.7500
Al5 Al 0.7500 0.2500 0.2500
Al6 Al 0.7500 0.2500 0.7500
Al7 Al 0.7500 0.7500 0.2500
Al8 Al 0.7500 0.7500 0.7500
# Space group: Fm-3m
# DOS(E_F) in states/eV per atom: 0.7514
# V in Å³/f.u.: 97

=====

Which one sits at the top of the stability order? b does.

=====

--- a ---
# CaHo3Al8 | the Alexandria database | PBE | relaxed
data_CaHo3Al8
_chemical_formula_sum 'Ca1 Ho3 Al8'
_cell_length_a 5.5738
_cell_length_b 5.5738
_cell_length_c 9.0797
_cell_angle_alpha 90.00
_cell_angle_beta 90.00
_cell_angle_gamma 120.00
_symmetry_space_group_name_H-M 'P 1'
_symmetry_Int_Tables_number 1
loop_
_symmetry_equiv_pos_as_xyz
'x,y,z'
loop_
_atom_site_label
_atom_site_type_symbol
_atom_site_fract_x
_atom_site_fract_y
_atom_site_fract_z
Ca1 Ca 0.0000 0.0000 0.0000
Ho1 Ho 0.0000 0.0000 0.3668
Ho2 Ho 0.6667 0.3333 0.5022
Ho3 Ho 0.6667 0.3333 0.8678
Al1 Al 0.1624 0.3248 0.6805
Al2 Al 0.1624 0.8376 0.6805
Al3 Al 0.3333 0.6667 0.4331
Al4 Al 0.3333 0.6667 0.9341
Al5 Al 0.5049 0.0099 0.1869
Al6 Al 0.5049 0.4951 0.1869
Al7 Al 0.6752 0.8376 0.6805
Al8 Al 0.9901 0.4951 0.1869
# Space group: P3m1
# DOS(E_F) in states/eV per atom: 0.4885
# V in Å³/f.u.: 244

=====

--- b ---
# CaHo3Al8 | the Alexandria database | PBE | relaxed
data_CaHo3Al8
_chemical_formula_sum 'Ca1 Ho3 Al8'
_cell_length_a 9.6672
_cell_length_b 9.6672
_cell_length_c 9.6672
_cell_angle_alpha 33.44
_cell_angle_beta 33.44
_cell_angle_gamma 33.44
_symmetry_space_group_name_H-M 'P 1'
_symmetry_Int_Tables_number 1
loop_
_symmetry_equiv_pos_as_xyz
'x,y,z'
loop_
_atom_site_label
_atom_site_type_symbol
_atom_site_fract_x
_atom_site_fract_y
_atom_site_fract_z
Ca1 Ca 0.0000 0.0000 0.0000
Ho1 Ho 0.3752 0.3752 0.3752
Ho2 Ho 0.5003 0.5003 0.5003
Ho3 Ho 0.8758 0.8758 0.8758
Al1 Al 0.1880 0.1880 0.1880
Al2 Al 0.4372 0.4372 0.9355
Al3 Al 0.4372 0.9355 0.4372
Al4 Al 0.4405 0.9381 0.9381
Al5 Al 0.6877 0.6877 0.6877
Al6 Al 0.9355 0.4372 0.4372
Al7 Al 0.9381 0.4405 0.9381
Al8 Al 0.9381 0.9381 0.4405
# Space group: R3m
# DOS(E_F) in states/eV per atom: 0.7185
# V in Å³/f.u.: 244

=====

Which one sits at the top of the stability order? b does.

=====

--- a ---
# CaAlIN2 | the Alexandria database | PBE | relaxed
data_CaAlIN2
_chemical_formula_sum 'Ca1 Al1 I1 N2'
_cell_length_a 4.0016
_cell_length_b 4.0016
_cell_length_c 5.6687
_cell_angle_alpha 90.00
_cell_angle_beta 90.00
_cell_angle_gamma 90.00
_symmetry_space_group_name_H-M 'P 1'
_symmetry_Int_Tables_number 1
loop_
_symmetry_equiv_pos_as_xyz
'x,y,z'
loop_
_atom_site_label
_atom_site_type_symbol
_atom_site_fract_x
_atom_site_fract_y
_atom_site_fract_z
Ca1 Ca 0.0000 0.0000 0.0000
Al1 Al 0.5000 0.5000 0.5000
I1 I 0.5000 0.5000 0.0000
N1 N 0.0000 0.5000 0.5000
N2 N 0.5000 0.0000 0.5000
# Space group: P4/mmm
# DOS(E_F) in states/eV per atom: 0.4351
# V in Å³/f.u.: 91

=====

--- b ---
# CaAlIN2 | the Alexandria database | PBE | relaxed
data_CaAlIN2
_chemical_formula_sum 'Ca1 Al1 I1 N2'
_cell_length_a 4.7720
_cell_length_b 4.7720
_cell_length_c 6.3950
_cell_angle_alpha 90.00
_cell_angle_beta 90.00
_cell_angle_gamma 90.00
_symmetry_space_group_name_H-M 'P 1'
_symmetry_Int_Tables_number 1
loop_
_symmetry_equiv_pos_as_xyz
'x,y,z'
loop_
_atom_site_label
_atom_site_type_symbol
_atom_site_fract_x
_atom_site_fract_y
_atom_site_fract_z
Ca1 Ca 0.0000 0.0000 0.0000
Al1 Al 0.5000 0.5000 0.5000
I1 I 0.0000 0.0000 0.5000
N1 N 0.0000 0.5000 0.0000
N2 N 0.5000 0.0000 0.0000
# Space group: P4/mmm
# DOS(E_F) in states/eV per atom: 0.5833
# V in Å³/f.u.: 146

=====

Which one sits at the top of the stability order? a does.

=====

--- a ---
# CaAlSb2I | the Alexandria database | PBE | relaxed
data_CaAlSb2I
_chemical_formula_sum 'Ca1 Al1 Sb2 I1'
_cell_length_a 5.8677
_cell_length_b 5.8677
_cell_length_c 5.9739
_cell_angle_alpha 90.00
_cell_angle_beta 90.00
_cell_angle_gamma 90.00
_symmetry_space_group_name_H-M 'P 1'
_symmetry_Int_Tables_number 1
loop_
_symmetry_equiv_pos_as_xyz
'x,y,z'
loop_
_atom_site_label
_atom_site_type_symbol
_atom_site_fract_x
_atom_site_fract_y
_atom_site_fract_z
Ca1 Ca 0.0000 0.0000 0.0000
Al1 Al 0.5000 0.5000 0.5000
Sb1 Sb 0.0000 0.5000 0.0000
Sb2 Sb 0.5000 0.0000 0.0000
I1 I 0.0000 0.0000 0.5000
# Space group: P4/mmm
# DOS(E_F) in states/eV per atom: 1.2172
# V in Å³/f.u.: 206

=====

--- b ---
# CaAlSb2I | the Alexandria database | PBE | relaxed
data_CaAlSb2I
_chemical_formula_sum 'Ca1 Al1 Sb2 I1'
_cell_length_a 5.2594
_cell_length_b 5.2594
_cell_length_c 5.9406
_cell_angle_alpha 90.00
_cell_angle_beta 90.00
_cell_angle_gamma 90.00
_symmetry_space_group_name_H-M 'P 1'
_symmetry_Int_Tables_number 1
loop_
_symmetry_equiv_pos_as_xyz
'x,y,z'
loop_
_atom_site_label
_atom_site_type_symbol
_atom_site_fract_x
_atom_site_fract_y
_atom_site_fract_z
Ca1 Ca 0.0000 0.0000 0.0000
Al1 Al 0.5000 0.5000 0.5000
Sb1 Sb 0.0000 0.5000 0.5000
Sb2 Sb 0.5000 0.0000 0.5000
I1 I 0.5000 0.5000 0.0000
# Space group: P4/mmm
# DOS(E_F) in states/eV per atom: 0.8239
# V in Å³/f.u.: 164

=====

Which one sits at the top of the stability order? b does.

=====

--- a ---
# CaAlSbI2 | the Alexandria database | PBE | relaxed
data_CaAlSbI2
_chemical_formula_sum 'Ca1 Al1 Sb1 I2'
_cell_length_a 6.0478
_cell_length_b 6.0478
_cell_length_c 6.2566
_cell_angle_alpha 90.00
_cell_angle_beta 90.00
_cell_angle_gamma 90.00
_symmetry_space_group_name_H-M 'P 1'
_symmetry_Int_Tables_number 1
loop_
_symmetry_equiv_pos_as_xyz
'x,y,z'
loop_
_atom_site_label
_atom_site_type_symbol
_atom_site_fract_x
_atom_site_fract_y
_atom_site_fract_z
Ca1 Ca 0.0000 0.0000 0.0000
Al1 Al 0.5000 0.5000 0.5000
Sb1 Sb 0.0000 0.0000 0.5000
I1 I 0.0000 0.5000 0.0000
I2 I 0.5000 0.0000 0.0000
# Space group: P4/mmm
# DOS(E_F) in states/eV per atom: 0.4023
# V in Å³/f.u.: 229

=====

--- b ---
# CaAlSbI2 | the Alexandria database | PBE | relaxed
data_CaAlSbI2
_chemical_formula_sum 'Ca1 Al1 Sb1 I2'
_cell_length_a 5.5719
_cell_length_b 5.5719
_cell_length_c 5.5018
_cell_angle_alpha 90.00
_cell_angle_beta 90.00
_cell_angle_gamma 90.00
_symmetry_space_group_name_H-M 'P 1'
_symmetry_Int_Tables_number 1
loop_
_symmetry_equiv_pos_as_xyz
'x,y,z'
loop_
_atom_site_label
_atom_site_type_symbol
_atom_site_fract_x
_atom_site_fract_y
_atom_site_fract_z
Ca1 Ca 0.0000 0.0000 0.0000
Al1 Al 0.5000 0.5000 0.5000
Sb1 Sb 0.5000 0.5000 0.0000
I1 I 0.0000 0.5000 0.5000
I2 I 0.5000 0.0000 0.5000
# Space group: P4/mmm
# DOS(E_F) in states/eV per atom: 0.8390
# V in Å³/f.u.: 171

=====

Which one sits at the top of the stability order? b does.

=====

--- a ---
# CaAlTe2I | the Alexandria database | PBE | relaxed
data_CaAlTe2I
_chemical_formula_sum 'Ca1 Al1 Te2 I1'
_cell_length_a 5.9086
_cell_length_b 5.9086
_cell_length_c 6.0990
_cell_angle_alpha 90.00
_cell_angle_beta 90.00
_cell_angle_gamma 90.00
_symmetry_space_group_name_H-M 'P 1'
_symmetry_Int_Tables_number 1
loop_
_symmetry_equiv_pos_as_xyz
'x,y,z'
loop_
_atom_site_label
_atom_site_type_symbol
_atom_site_fract_x
_atom_site_fract_y
_atom_site_fract_z
Ca1 Ca 0.0000 0.0000 0.0000
Al1 Al 0.5000 0.5000 0.5000
Te1 Te 0.0000 0.5000 0.0000
Te2 Te 0.5000 0.0000 0.0000
I1 I 0.0000 0.0000 0.5000
# Space group: P4/mmm
# DOS(E_F) in states/eV per atom: 1.3687
# V in Å³/f.u.: 213

=====

--- b ---
# CaAlTe2I | the Alexandria database | PBE | relaxed
data_CaAlTe2I
_chemical_formula_sum 'Ca1 Al1 Te2 I1'
_cell_length_a 5.4161
_cell_length_b 5.4161
_cell_length_c 5.6206
_cell_angle_alpha 90.00
_cell_angle_beta 90.00
_cell_angle_gamma 90.00
_symmetry_space_group_name_H-M 'P 1'
_symmetry_Int_Tables_number 1
loop_
_symmetry_equiv_pos_as_xyz
'x,y,z'
loop_
_atom_site_label
_atom_site_type_symbol
_atom_site_fract_x
_atom_site_fract_y
_atom_site_fract_z
Ca1 Ca 0.0000 0.0000 0.0000
Al1 Al 0.5000 0.5000 0.5000
Te1 Te 0.0000 0.5000 0.5000
Te2 Te 0.5000 0.0000 0.5000
I1 I 0.5000 0.5000 0.0000
# Space group: P4/mmm
# DOS(E_F) in states/eV per atom: 0.1798
# V in Å³/f.u.: 165

=====

Which one sits at the top of the stability order? b does.